Below is a relaxed BaCrCl4 crystal, with properties calculated at the PBE level.

The space group is C2/c (No. 15) and the conventional cell measures 13.689, 7.134 and 7.866 Å, with angles of 90.00, 105.72 and 90.00 degrees. The distinct sites, in fractional coordinates, are Ba at (0.000, 0.249, 0.250), Cr at (0.250, 0.250, 0.000), Cl at (0.136, 0.482, 0.048) and Cl at (0.137, 0.017, 0.049).

Below is a relaxed Ba2CrCl crystal, with properties calculated at the PBE level.

The space group is Amm2 (No. 38) and the conventional cell measures 5.239, 4.234 and 13.714 Å, with angles of 90.00, 90.00 and 90.00 degrees. The distinct sites, in fractional coordinates, are Ba at (0.000, 0.000, 0.000), Ba at (0.500, 0.000, 0.268), Cr at (0.000, 0.000, 0.736) and Cl at (0.500, 0.000, 0.501).

Below is a relaxed BaCr2Cl crystal, with properties calculated at the PBE level.

The space group is F-43m (No. 216) and the conventional cell measures 7.757, 7.757 and 7.757 Å, with angles of 90.00, 90.00 and 90.00 degrees. The distinct sites, in fractional coordinates, are Ba at (0.000, 0.000, 0.000), Cr at (0.000, 0.000, 0.500), Cr at (0.250, 0.250, 0.750) and Cl at (0.250, 0.250, 0.250).

Below is a relaxed BaCrCl3 crystal, with properties calculated at the PBE level.

The space group is Pm-3m (No. 221) and the conventional cell measures 5.076, 5.076 and 5.076 Å, with angles of 90.00, 90.00 and 90.00 degrees. The distinct sites, in fractional coordinates, are Ba at (0.000, 0.000, 0.000), Cr at (0.500, 0.500, 0.500) and Cl at (0.000, 0.500, 0.500).

Below is a relaxed BaCrCl3 crystal, with properties calculated at the PBE level.

The space group is Pm-3m (No. 221) and the conventional cell measures 5.971, 5.971 and 5.971 Å, with angles of 90.00, 90.00 and 90.00 degrees. The distinct sites, in fractional coordinates, are Ba at (0.000, 0.000, 0.000), Cr at (0.500, 0.500, 0.500) and Cl at (0.000, 0.000, 0.500).

Below is a relaxed Ba2CrCl crystal, with properties calculated at the PBE level.

The space group is P4/mmm (No. 123) and the conventional cell measures 4.734, 4.734 and 6.803 Å, with angles of 90.00, 90.00 and 90.00 degrees. The distinct sites, in fractional coordinates, are Ba at (0.000, 0.000, 0.000), Ba at (0.500, 0.500, 0.500), Cr at (0.000, 0.000, 0.500) and Cl at (0.500, 0.500, 0.000).

| no. | total magnetization (μB per formula unit) | uncorrected formation energy (eV/atom) |
| --- | --- | --- |
| 1 | 4.0 | -1.7412 |
| 2 | 4.5 | -0.3538 |
| 3 | 10.2 | 0.4696 |
| 4 | 4.8 | -1.4056 |
| 5 | 5.0 | -0.9739 |
| 6 | 4.2 | -0.4106 |